Material: Ta2MnSe
Method: DFT, PBE
State: optimized geometry

Output
- ΔE_f (raw) (meV per atom) = -41.2
- density (g/cm³) = 12.47
- V (Å³ per cell) = 66.01
- crystal system = tetragonal
- magnetic moment (μB per cell) = 1.71

abc: 3.2664 3.2664 6.1866
angles: 90.00 90.00 90.00
Closest atoms and distances in Å follow each position.
Element x y z (fractional)
Ta1 0.0000 0.0000 0.0000  4 Se 2.73, 4 Ta 2.99
Ta2 0.5000 0.5000 0.3058  4 Mn 2.60, 1 Se 2.85
Mn1 0.0000 0.0000 0.4989  4 Ta 2.60, 4 Se 2.84
Se1 0.5000 0.5000 0.7657  5 Ta 2.73-2.85, 4 Mn 2.84